# TaMnMo (PBE, relaxed)
data_TaMnMo
_chemical_formula_sum 'Ta8 Mn8 Mo8'
_cell_length_a 4.963
_cell_length_b 8.552
_cell_length_c 8.621
_cell_angle_alpha 90.00
_cell_angle_beta 90.00
_cell_angle_gamma 90.00
_space_group_name_H-M_alt 'F m m m'
_space_group_IT_number 69
_space_group_name_Hall '-F 2 2'
loop_
_atom_site_label
_atom_site_fract_x
_atom_site_fract_y
_atom_site_fract_z
_atom_site_occupancy
Ta1 0.000 0.164 0.000 1
Mn1 0.250 0.250 0.250 1
Mo1 0.000 0.000 0.344 1
# Excess energy over the best structure of this formula in the dataset (kJ per mole of atoms): 8.4
# Total DFT energy (no corrections) (eV/atom): -10.55
# Calculated formation energy (eV per atom): 0.06

---

# AcCe2GeO8 (PBE, relaxed)
data_AcCe2GeO8
_chemical_formula_sum 'Ac1 Ce2 Ge1 O8'
_cell_length_a 4.538
_cell_length_b 5.280
_cell_length_c 7.217
_cell_angle_alpha 86.16
_cell_angle_beta 88.05
_cell_angle_gamma 89.38
_space_group_name_H-M_alt 'P -1'
_space_group_IT_number 2
loop_
_space_group_symop_operation_xyz
'x,y,z'
'-x,-y,-z'
loop_
_atom_site_label
_atom_site_fract_x
_atom_site_fract_y
_atom_site_fract_z
_atom_site_occupancy
Ac1 0.000 0.000 0.000 1
Ce1 0.470 0.472 0.261 1
Ge1 0.000 0.000 0.500 1
O1 0.104 0.754 0.709 1
O2 0.164 0.797 0.314 1
O3 0.330 0.234 0.524 1
O4 0.439 0.268 0.997 1
# Total DFT energy (no corrections) (eV/atom): -7.63
# Raw formation energy (eV per atom): -2.61

---

- total DFT energy (no corrections) of number 2 (AcCe2GeO8)?
  -7.63 eV/atom

---

Copy entry 1 word for word.
# TaMnMo (PBE, relaxed)
data_TaMnMo
_chemical_formula_sum 'Ta8 Mn8 Mo8'
_cell_length_a 4.963
_cell_length_b 8.552
_cell_length_c 8.621
_cell_angle_alpha 90.00
_cell_angle_beta 90.00
_cell_angle_gamma 90.00
_space_group_name_H-M_alt 'F m m m'
_space_group_IT_number 69
_space_group_name_Hall '-F 2 2'
loop_
_atom_site_label
_atom_site_fract_x
_atom_site_fract_y
_atom_site_fract_z
_atom_site_occupancy
Ta1 0.000 0.164 0.000 1
Mn1 0.250 0.250 0.250 1
Mo1 0.000 0.000 0.344 1
# Excess energy over the best structure of this formula in the dataset (kJ per mole of atoms): 8.4
# Total DFT energy (no corrections) (eV/atom): -10.55
# Calculated formation energy (eV per atom): 0.06

---

- total DFT energy (no corrections) of number 2 (AcCe2GeO8)?
  -7.63 eV/atom

---

- Which of these has the lowest total DFT energy (no corrections)?
  TaMnMo